1.
This record from the Alexandria database describes a geometry-optimized LaOs3Au structure. The functional is PBE.

```
data_LaOs3Au
_cell_length_a 4.863
_cell_length_b 4.863
_cell_length_c 4.863
_cell_angle_alpha 90.00
_cell_angle_beta 90.00
_cell_angle_gamma 90.00
_space_group_name_H-M_alt 'P m -3 m'
_space_group_IT_number 221
_space_group_name_Hall '-P 4 2 3'
loop_
_atom_site_label
_atom_site_type_symbol
_atom_site_fract_x
_atom_site_fract_y
_atom_site_fract_z
_atom_site_occupancy
La1 La 0.000 0.000 0.000 1
Os1 Os 0.000 0.000 0.500 1
Au1 Au 0.500 0.500 0.500 1
```

Calculated values
The density of states at the Fermi level is 4.62 states/eV/f.u. Its formation energy is 2.89 eV/atom. Its crystal system is cubic. The energy relative to the lowest polymorph listed for this composition comes out at 962 meV/atom. The total energy is -5.49 eV/atom.

---

2.
This record from the Alexandria database describes a geometry-optimized LaOs2Au structure. The functional is PBE.

```
data_LaOs2Au
_cell_length_a 2.8666
_cell_length_b 2.8666
_cell_length_c 30.4798
_cell_angle_alpha 90.00
_cell_angle_beta 90.00
_cell_angle_gamma 120.00
_space_group_name_H-M_alt 'R -3 m'
_space_group_IT_number 166
_space_group_name_Hall '-R 3 2"'
loop_
_atom_site_label
_atom_site_type_symbol
_atom_site_fract_x
_atom_site_fract_y
_atom_site_fract_z
_atom_site_occupancy
La1 La 0.0000 0.0000 0.0000 1
Os1 Os 0.0000 0.0000 0.2430 1
Au1 Au 0.0000 0.0000 0.5000 1
```

Calculated values
The density of states at the Fermi level is 3.82 states/eV/f.u. Its formation energy is 0.82 eV/atom. Its crystal system is trigonal. The energy relative to the lowest polymorph listed for this composition comes out at 867 meV/atom. The total energy is -6.84 eV/atom.